No. 1
Li2ReHg | PBE | relaxed

Computed properties:
The density of states at the Fermi level is 2.52 states/eV/cell. As for the formation energy: 21 kJ/mol of atoms.

The structure in extended XYZ format:
```
4
Lattice="1.410 0.814 9.590 -1.410 0.814 9.590 0.000 -1.628 9.590" Properties=species:S:1:pos:R:3 pbc="T T T"
Li 0.000 0.000 7.039
Li 0.000 0.000 21.730
Re 0.000 0.000 14.384
Hg 0.000 0.000 0.000
```



No. 2
LiReHg3 | PBE | relaxed

Computed properties:
The density of states at the Fermi level is 4.06 states/eV/cell. As for the formation energy: 69 kJ/mol of atoms. Its energy above the most stable polymorph in this dataset is 0 meV/atom.

The structure in extended XYZ format:
```
5
Lattice="5.268 0.000 0.000 0.000 5.268 0.000 0.000 0.000 5.268" Properties=species:S:1:pos:R:3 pbc="T T T"
Li 0.000 0.000 0.000
Re 2.634 2.634 2.634
Hg 0.000 2.634 2.634
Hg 2.634 0.000 2.634
Hg 2.634 2.634 0.000
```



No. 3
LiReHg2 | PBE | relaxed

Computed properties:
The density of states at the Fermi level is 1.76 states/eV/cell. As for the formation energy: 49 kJ/mol of atoms. Its energy above the most stable polymorph in this dataset is 188 meV/atom.

The structure in extended XYZ format:
```
4
Lattice="-1.449 2.445 5.026 1.449 -2.445 5.026 1.449 2.445 -5.026" Properties=species:S:1:pos:R:3 pbc="T T T"
Li 0.000 0.000 0.000
Re 0.000 2.445 2.585
Hg 1.449 0.000 2.426
Hg 0.000 0.000 5.092
```